No. 1
A plane-wave DFT calculation with PBE-GGA was carried out for a geometry-optimized BaLa structure.

Computed properties:
**Volume**: 186.1 Å³ per cell
**Spin magnetization**: 0.00 μB per formula unit
**E_form**: 0.24 eV/f.u.
**Excess energy over the best structure of this formula in the dataset**: 0.04 eV/f.u.

Cell: 13.509 13.509 13.509 Å, 17.10 17.10 17.10°
Element x y z (fractional)
Ba1 0.995 0.995 0.995
Ba2 0.755 0.755 0.755
La1 0.506 0.506 0.506
La2 0.244 0.244 0.244


No. 2
A plane-wave DFT calculation with PBE-GGA was carried out for a geometry-optimized Ca12In2Sn5 structure.

Computed properties:
**Volume**: 680.5 Å³ per cell
**Spin magnetization**: 0.00 μB per formula unit
**E_form**: -8.25 eV/f.u.

Cell: 7.642 9.445 10.404 Å, 97.06 90.00 113.86°
Element x y z (fractional)
Ca1 0.963 0.927 0.187
Ca2 0.073 0.638 0.875
Ca3 0.565 0.638 0.875
Ca4 0.095 0.693 0.427
Ca5 0.597 0.693 0.427
Ca6 0.479 0.958 0.709
Ca7 0.521 0.042 0.291
Ca8 0.905 0.307 0.573
Ca9 0.403 0.307 0.573
Ca10 0.927 0.362 0.125
Ca11 0.435 0.362 0.125
Ca12 0.037 0.073 0.813
In1 0.687 0.000 0.000
In2 0.313 0.000 0.000
Sn1 0.297 0.595 0.638
Sn2 0.340 0.681 0.152
Sn3 0.000 0.000 0.500
Sn4 0.660 0.319 0.848
Sn5 0.703 0.405 0.362


No. 3
A plane-wave DFT calculation with PBE-GGA was carried out for a geometry-optimized AgRu3 structure.

Computed properties:
**Volume**: 59.2 Å³ per cell
**Spin magnetization**: 0.00 μB per formula unit
**E_form**: 1.87 eV/f.u.

Cell: 5.265 5.265 5.265 Å, 149.59 126.06 63.19°
Element x y z (fractional)
Ag1 0.986 0.000 0.986
Ru1 0.108 0.764 0.344
Ru2 0.492 0.500 0.992
Ru3 0.581 0.236 0.344


No. 4
A plane-wave DFT calculation with PBE-GGA was carried out for a geometry-optimized PaTiTe4 structure.

Computed properties:
**Volume**: 202.6 Å³ per cell
**Spin magnetization**: 1.05 μB per formula unit
**Raw formation energy**: -0.72 eV/atom

Cell: 4.100 8.191 7.005 Å, 116.27 90.00 104.49°
Site moments in Bohr magnetons follow the coordinates.
Element x y z (fractional)
Pa1 0.500 0.000 0.500  0.41
Ti1 0.000 0.000 0.000  0.60
Te1 0.380 0.759 0.024  -0.04
Te2 0.128 0.257 0.448  -0.02
Te3 0.620 0.241 0.976  -0.04
Te4 0.872 0.743 0.552  -0.02


No. 5
A plane-wave DFT calculation with PBE-GGA was carried out for a geometry-optimized Pm3H2Pb structure.

Computed properties:
**Volume**: 281.4 Å³ per cell
**Spin magnetization**: 0.00 μB per formula unit
**Uncorrected energy**: -4.53 eV per atom

Cell: 3.678 6.530 12.348 Å, 106.15 98.57 90.00°
Element x y z (fractional)
Pm1 0.235 0.254 0.469
Pm2 0.033 0.788 0.066
Pm3 0.396 0.648 0.793
Pm4 0.765 0.746 0.531
Pm5 0.604 0.352 0.207
Pm6 0.967 0.212 0.934
H1 0.294 0.594 0.589
H2 0.706 0.406 0.411
H3 0.943 0.837 0.886
H4 0.057 0.163 0.114
Pb1 0.351 0.120 0.703
Pb2 0.649 0.880 0.297


No. 6
A plane-wave DFT calculation with PBE-GGA was carried out for a geometry-optimized Li3Ag3Hg structure.

Computed properties:
**Volume**: 251.2 Å³ per cell
**Spin magnetization**: 0.00 μB per formula unit
**E_form**: -0.65 eV/f.u.
**Excess energy over the best structure of this formula in the dataset**: 0.42 eV/f.u.

Cell: 7.040 7.040 7.125 Å, 60.39 60.39 60.00°
Element x y z (fractional)
Li1 0.197 0.708 0.183
Li2 0.912 0.197 0.183
Li3 0.708 0.912 0.183
Li4 0.292 0.088 0.817
Li5 0.088 0.803 0.817
Li6 0.803 0.292 0.817
Ag1 0.563 0.746 0.637
Ag2 0.746 0.054 0.637
Ag3 0.054 0.563 0.637
Ag4 0.946 0.437 0.363
Ag5 0.254 0.946 0.363
Ag6 0.437 0.254 0.363
Hg1 0.355 0.355 0.935
Hg2 0.645 0.645 0.065


No. 7
A plane-wave DFT calculation with PBE-GGA was carried out for a geometry-optimized La11Sm9Dy4 structure.

Computed properties:
**Volume**: 849.7 Å³ per cell
**Spin magnetization**: 0.00 μB per formula unit
**E_form**: 1.54 eV/f.u.

Cell: 3.720 15.760 15.760 Å, 113.13 90.00 90.00°
Element x y z (fractional)
La1 0.000 0.597 0.958
La2 0.000 0.403 0.042
La3 0.000 0.958 0.597
La4 0.000 0.042 0.403
La5 0.000 0.631 0.369
La6 0.000 0.369 0.631
La7 0.000 0.839 0.161
La8 0.000 0.161 0.839
La9 0.000 0.000 0.000
La10 0.000 0.708 0.708
La11 0.000 0.292 0.292
Sm1 0.500 0.630 0.166
Sm2 0.500 0.370 0.834
Sm3 0.500 0.166 0.630
Sm4 0.500 0.834 0.370
Sm5 0.500 0.787 0.933
Sm6 0.500 0.213 0.067
Sm7 0.500 0.933 0.787
Sm8 0.500 0.067 0.213
Sm9 0.500 0.500 0.500
Dy1 0.500 0.556 0.760
Dy2 0.500 0.444 0.240
Dy3 0.500 0.760 0.556
Dy4 0.500 0.240 0.444


No. 8
A plane-wave DFT calculation with PBE-GGA was carried out for a geometry-optimized Cs3TbTh2S6 structure.

Computed properties:
**Volume**: 364.5 Å³ per cell
**Spin magnetization**: 0.00 μB per formula unit
**Raw formation energy**: -1.71 eV/atom

Cell: 7.192 7.192 8.482 Å, 98.13 98.13 120.00°
Element x y z (fractional)
Cs1 0.167 0.833 0.500
Cs2 0.833 0.167 0.500
Cs3 0.500 0.500 0.500
Tb1 0.000 0.000 0.000
Th1 0.333 0.667 0.000
Th2 0.667 0.333 0.000
S1 0.938 0.606 0.813
S2 0.731 0.731 0.187
S3 0.062 0.394 0.187
S4 0.606 0.938 0.813
S5 0.269 0.269 0.813
S6 0.394 0.062 0.187


No. 9
A plane-wave DFT calculation with PBE-GGA was carried out for a geometry-optimized Cr2TeRu structure.

Computed properties:
**Volume**: 60.5 Å³ per cell
**Spin magnetization**: 0.63 μB per formula unit
**Raw formation energy**: 0.38 eV/atom

Cell: 3.089 3.089 6.340 Å, 90.00 90.00 90.00°
Site moments in Bohr magnetons follow the coordinates.
Element x y z (fractional)
Cr1 0.000 0.000 0.022  -1.23
Cr2 0.500 0.500 0.243  1.81
Ru1 0.000 0.000 0.472  -0.03
Te1 0.500 0.500 0.763  0.03


No. 10
A plane-wave DFT calculation with PBE-GGA was carried out for a geometry-optimized La2Ag2Pd15 structure.

Computed properties:
**Volume**: 338.9 Å³ per cell
**Spin magnetization**: 0.00 μB per formula unit
**E_form**: -6.72 eV/f.u.

Cell: 7.034 7.034 7.034 Å, 82.06 82.06 82.06°
Element x y z (fractional)
La1 0.341 0.341 0.341
La2 0.659 0.659 0.659
Ag1 0.098 0.098 0.098
Ag2 0.902 0.902 0.902
Pd1 0.500 0.000 0.000
Pd2 0.000 0.000 0.500
Pd3 0.000 0.500 0.000
Pd4 0.000 0.692 0.308
Pd5 0.692 0.308 0.000
Pd6 0.308 0.000 0.692
Pd7 0.308 0.692 0.000
Pd8 0.692 0.000 0.308
Pd9 0.000 0.308 0.692
Pd10 0.160 0.654 0.654
Pd11 0.654 0.654 0.160
Pd12 0.654 0.160 0.654
Pd13 0.840 0.346 0.346
Pd14 0.346 0.346 0.840
Pd15 0.346 0.840 0.346


No. 11
A plane-wave DFT calculation with PBE-GGA was carried out for a geometry-optimized V3ZnMo structure.

Computed properties:
**Volume**: 93.9 Å³ per cell
**Spin magnetization**: 0.00 μB per formula unit
**E_form**: 6.30 eV/f.u.
**Excess energy over the best structure of this formula in the dataset**: 6.12 eV/f.u.

Cell: 4.545 4.545 4.545 Å, 90.00 90.00 90.00°
Element x y z (fractional)
Mo1 0.000 0.000 0.000
Zn1 0.500 0.500 0.500
V1 0.000 0.500 0.000
V2 0.000 0.000 0.500
V3 0.500 0.000 0.000


No. 12
A plane-wave DFT calculation with PBE-GGA was carried out for a geometry-optimized Ta3FeP structure.

Computed properties:
**Volume**: 94.8 Å³ per cell
**Spin magnetization**: 0.00 μB per formula unit
**E_form**: 4.15 eV/f.u.
**Excess energy over the best structure of this formula in the dataset**: 4.62 eV/f.u.

Cell: 4.560 4.560 4.560 Å, 90.00 90.00 90.00°
Element x y z (fractional)
P1 0.500 0.500 0.500
Fe1 0.000 0.000 0.000
Ta1 0.000 0.500 0.000
Ta2 0.000 0.000 0.500
Ta3 0.500 0.000 0.000


No. 13
A plane-wave DFT calculation with PBE-GGA was carried out for a geometry-optimized Mg5CdPd structure.

Computed properties:
**Volume**: 149.6 Å³ per cell
**Spin magnetization**: 0.00 μB per formula unit
**E_form**: -1.83 eV/f.u.
**Excess energy over the best structure of this formula in the dataset**: 0.00 eV/f.u.

Cell: 4.506 4.506 7.369 Å, 90.00 90.00 90.00°
Element x y z (fractional)
Mg1 0.000 0.500 0.797
Mg2 0.000 0.500 0.203
Mg3 0.500 0.000 0.797
Mg4 0.500 0.000 0.203
Mg5 0.500 0.500 0.500
Cd1 0.000 0.000 0.500
Pd1 0.500 0.500 0.000


No. 14
A plane-wave DFT calculation with PBE-GGA was carried out for a geometry-optimized Al2SiI2 structure.

Computed properties:
**Volume**: 259.0 Å³ per cell
**Spin magnetization**: 0.00 μB per formula unit
**Raw formation energy**: 0.29 eV/atom
**Excess energy over the best structure of this formula in the dataset**: 0.00 eV/f.u.

Cell: 7.109 7.109 5.125 Å, 90.00 90.00 90.00°
Element x y z (fractional)
I1 0.205 0.705 0.500
I2 0.705 0.795 0.500
I3 0.795 0.295 0.500
I4 0.295 0.205 0.500
Si1 0.000 0.000 0.000
Si2 0.500 0.500 0.000
Al1 0.354 0.854 0.000
Al2 0.854 0.646 0.000
Al3 0.646 0.146 0.000
Al4 0.146 0.354 0.000


No. 15
A plane-wave DFT calculation with PBE-GGA was carried out for a geometry-optimized Nd5Ho4Tm4 structure.

Computed properties:
**Volume**: 419.5 Å³ per cell
**Spin magnetization**: 0.00 μB per formula unit
**E_form**: 0.30 eV/f.u.

Cell: 5.041 9.464 9.464 Å, 85.93 74.55 74.55°
Element x y z (fractional)
Nd1 0.696 0.843 0.766
Nd2 0.304 0.157 0.234
Nd3 0.000 0.000 0.000
Nd4 0.539 0.766 0.157
Nd5 0.461 0.234 0.843
Ho1 0.767 0.388 0.078
Ho2 0.233 0.612 0.922
Ho3 0.845 0.922 0.388
Ho4 0.155 0.078 0.612
Tm1 0.925 0.462 0.689
Tm2 0.613 0.311 0.462
Tm3 0.075 0.538 0.311
Tm4 0.387 0.689 0.538


No. 16
A plane-wave DFT calculation with PBE-GGA was carried out for a geometry-optimized Li8TbAg6 structure.

Computed properties:
**Volume**: 282.0 Å³ per cell
**Spin magnetization**: 0.00 μB per formula unit
**E_form**: -1.28 eV/f.u.

Cell: 7.683 7.683 7.079 Å, 57.14 57.14 60.00°
Element x y z (fractional)
Li1 0.542 0.194 0.390
Li2 0.806 0.126 0.610
Li3 0.126 0.458 0.610
Li4 0.741 0.741 0.776
Li5 0.259 0.259 0.224
Li6 0.874 0.542 0.390
Li7 0.194 0.874 0.390
Li8 0.458 0.806 0.610
Tb1 0.000 0.000 0.000
Ag1 0.365 0.136 0.870
Ag2 0.864 0.371 0.130
Ag3 0.371 0.635 0.130
Ag4 0.629 0.365 0.870
Ag5 0.136 0.629 0.870
Ag6 0.635 0.864 0.130


No. 17
A plane-wave DFT calculation with PBE-GGA was carried out for a geometry-optimized BeBSb structure.

Computed properties:
**Volume**: 91.3 Å³ per cell
**Spin magnetization**: 0.00 μB per formula unit
**Raw formation energy**: 0.23 eV/atom
**Excess energy over the best structure of this formula in the dataset**: 0.41 eV/f.u.

Cell: 3.095 3.488 8.929 Å, 84.59 88.73 71.99°
Element x y z (fractional)
Sb1 0.692 0.255 0.855
Sb2 0.306 0.934 0.473
B1 0.259 0.068 0.216
B2 0.731 0.174 0.126
Be1 0.921 0.630 0.243
Be2 0.418 0.763 0.047


No. 18
A plane-wave DFT calculation with PBE-GGA was carried out for a geometry-optimized PuGa2Ag structure.

Computed properties:
**Volume**: 320.6 Å³ per cell
**Spin magnetization**: 5.44 μB per formula unit
**E_form**: -1.14 eV/f.u.
**Excess energy over the best structure of this formula in the dataset**: 0.00 eV/f.u.

Cell: 4.461 7.021 10.236 Å, 90.00 90.00 90.00°
Site moments in Bohr magnetons follow the coordinates.
Element x y z (fractional)
Pu1 0.750 0.794 0.174  5.29
Pu2 0.250 0.206 0.826  5.29
Pu3 0.750 0.294 0.326  5.29
Pu4 0.250 0.706 0.674  5.29
Ga1 0.750 0.913 0.845  -0.03
Ga2 0.250 0.087 0.155  -0.03
Ga3 0.750 0.413 0.655  -0.03
Ga4 0.250 0.587 0.345  -0.03
Ga5 0.750 0.698 0.466  -0.03
Ga6 0.250 0.802 0.966  -0.03
Ga7 0.750 0.198 0.034  -0.03
Ga8 0.250 0.302 0.534  -0.03
Ag1 0.250 0.465 0.094  0.00
Ag2 0.250 0.965 0.406  0.00
Ag3 0.750 0.535 0.906  0.00
Ag4 0.750 0.035 0.594  0.00


No. 19
A plane-wave DFT calculation with PBE-GGA was carried out for a geometry-optimized BaTmPaO6 structure.

Computed properties:
**Volume**: 154.8 Å³ per cell
**Spin magnetization**: 2.02 μB per formula unit
**Raw formation energy**: -2.74 eV/atom

Cell: 4.826 6.086 6.086 Å, 120.00 90.00 90.00°
Site moments in Bohr magnetons follow the coordinates.
Element x y z (fractional)
Ba1 0.500 0.667 0.333  0.00
Tm1 0.500 0.000 0.000  -0.04
Pa1 0.000 0.333 0.667  -0.09
O1 0.749 0.659 0.726  0.29
O2 0.749 0.274 0.934  0.29
O3 0.749 0.066 0.341  0.29
O4 0.251 0.274 0.341  0.29
O5 0.251 0.659 0.934  0.29
O6 0.251 0.066 0.726  0.29


No. 20
A plane-wave DFT calculation with PBE-GGA was carried out for a geometry-optimized ZrSbRu2 structure.

Computed properties:
**Volume**: 71.2 Å³ per cell
**Spin magnetization**: 0.00 μB per formula unit
**Raw formation energy**: -0.17 eV/atom

Cell: 4.683 4.683 5.178 Å, 77.92 77.92 40.01°
Element x y z (fractional)
Ru1 0.002 0.002 0.004
Ru2 0.498 0.498 0.496
Sb1 0.250 0.250 0.250
Zr1 0.750 0.750 0.750


No. 21
A plane-wave DFT calculation with PBE-GGA was carried out for a geometry-optimized ErRe2N6 structure.

Computed properties:
**Volume**: 321.0 Å³ per cell
**Spin magnetization**: 1.05 μB per formula unit
**Raw formation energy**: -0.09 eV/atom

Cell: 6.283 7.397 7.397 Å, 84.99 75.10 75.10°
Site moments in Bohr magnetons follow the coordinates.
Element x y z (fractional)
Er1 0.250 0.090 0.910  -0.01
Er2 0.750 0.910 0.090  -0.01
Re1 0.248 0.623 0.781  -0.09
Re2 0.252 0.219 0.377  -0.09
Re3 0.752 0.377 0.219  -0.09
Re4 0.748 0.781 0.623  -0.09
N1 0.541 0.633 0.647  0.13
N2 0.959 0.353 0.367  0.13
N3 0.459 0.367 0.353  0.13
N4 0.041 0.647 0.633  0.13
N5 0.768 0.891 0.400  0.21
N6 0.732 0.600 0.109  0.21
N7 0.232 0.109 0.600  0.21
N8 0.268 0.400 0.891  0.21
N9 0.138 0.803 0.952  0.10
N10 0.362 0.048 0.197  0.10
N11 0.862 0.197 0.048  0.10
N12 0.638 0.952 0.803  0.10


No. 22
A plane-wave DFT calculation with PBE-GGA was carried out for a geometry-optimized ThBiN structure.

Computed properties:
**Volume**: 74.8 Å³ per cell
**Spin magnetization**: 0.00 μB per formula unit
**Raw formation energy**: -0.76 eV/atom
**Excess energy over the best structure of this formula in the dataset**: 1.39 eV/f.u.

Cell: 3.343 3.343 7.099 Å, 103.62 103.62 90.00°
Element x y z (fractional)
Bi1 0.005 0.005 0.009
Th1 0.729 0.729 0.458
N1 0.266 0.266 0.533